## i
{
  "formula": "MnMo2Ru",
  "functional": "SCAN",
  "state": "PBEsol geometry",
  "rho_g_cm3": 10.33,
  "vol_a3_per_cell": 55.9,
  "magmom_total_mub_per_fu": 3.1,
  "cell": [[2.6692, 0.0024, 0.0040], [-0.7551, 4.8654, 0.0219], [-0.7551, -2.2910, 4.2923]],
  "species": ["Mn", "Mo", "Mo", "Ru"],
  "fractional_positions": [[0.5000, 0.0000, 0.0000], [0.0000, 0.5000, 0.0000], [0.0000, 0.0000, 0.5000], [0.5000, 0.5000, 0.5000]]
}



## ii
{
  "formula": "MnMo2Ru",
  "functional": "SCAN",
  "state": "PBEsol geometry",
  "rho_g_cm3": 10.47,
  "vol_a3_per_cell": 55.2,
  "magmom_total_mub_per_fu": 2.7,
  "cell": [[-0.6632, -1.8544, -1.9057], [3.5438, -1.0587, -0.2031], [-0.8785, -3.6877, 3.8942]],
  "species": ["Mo", "Mo", "Mn", "Ru"],
  "fractional_positions": [[0.0000, 0.0000, 0.2549], [0.0000, 0.0000, 0.7451], [0.5000, 0.5000, 0.5000], [0.5000, 0.5000, 0.0000]]
}



Stability, highest: i



## i
{
  "formula": "YMgCu",
  "functional": "SCAN",
  "state": "PBEsol geometry",
  "rho_g_cm3": 4.77,
  "vol_a3_per_cell": 184.8,
  "magmom_total_mub_per_fu": 0.0,
  "cell": [[3.9173, 0.0000, 0.0000], [0.0000, 7.3800, 0.0000], [0.0000, -3.6900, 6.3913]],
  "species": ["Mg", "Mg", "Mg", "Cu", "Cu", "Cu", "Y", "Y", "Y"],
  "fractional_positions": [[0.0000, 0.0000, 0.7564], [0.0000, 0.2436, 0.2436], [0.0000, 0.7564, 0.0000], [0.0000, 0.6667, 0.3333], [0.5000, 0.0000, 0.0000], [0.0000, 0.3333, 0.6667], [0.5000, 0.0000, 0.4143], [0.5000, 0.5857, 0.5857], [0.5000, 0.4143, 0.0000]]
}



## ii
{
  "formula": "YMgCu",
  "functional": "SCAN",
  "state": "PBEsol geometry",
  "rho_g_cm3": 4.58,
  "vol_a3_per_cell": 256.2,
  "magmom_total_mub_per_fu": 0.0,
  "cell": [[-5.7035, 0.8286, 0.4845], [2.0342, -6.2423, 0.1010], [0.6851, 0.3442, 7.4759]],
  "species": ["Mg", "Mg", "Mg", "Mg", "Y", "Y", "Y", "Y", "Cu", "Cu", "Cu", "Cu"],
  "fractional_positions": [[0.3077, 0.1154, 0.7500], [0.6923, 0.8846, 0.2500], [0.1923, 0.8846, 0.2500], [0.8077, 0.1154, 0.7500], [0.6850, 0.3700, 0.1019], [0.3150, 0.6300, 0.8981], [0.1850, 0.3700, 0.3981], [0.8150, 0.6300, 0.6019], [0.5968, 0.1937, 0.4503], [0.9032, 0.8063, 0.9503], [0.4032, 0.8063, 0.5497], [0.0968, 0.1937, 0.0497]]
}



Stability, highest: i



## i
{
  "formula": "AgPt2",
  "functional": "SCAN",
  "state": "PBEsol geometry",
  "rho_g_cm3": 17.95,
  "vol_a3_per_cell": 184.3,
  "magmom_total_mub_per_fu": 0.0,
  "cell": [[5.5495, 0.0000, 0.0000], [-2.7747, 4.8524, 0.0093], [0.0000, -0.1436, 6.8429]],
  "species": ["Pt", "Pt", "Pt", "Pt", "Pt", "Pt", "Pt", "Pt", "Ag", "Ag", "Ag", "Ag"],
  "fractional_positions": [[0.8318, 0.1624, 0.8260], [0.6694, 0.8376, 0.1740], [0.1682, 0.8376, 0.1740], [0.0000, 0.0000, 0.5000], [0.3363, 0.6727, 0.8377], [0.5000, 0.0000, 0.5000], [0.3306, 0.1624, 0.8260], [0.6637, 0.3273, 0.1623], [0.0000, 0.5000, 0.5000], [0.5000, 0.5000, 0.5000], [0.1681, 0.3362, 0.1608], [0.8319, 0.6638, 0.8392]]
}



## ii
{
  "formula": "AgPt2",
  "functional": "SCAN",
  "state": "PBEsol geometry",
  "rho_g_cm3": 16.89,
  "vol_a3_per_cell": 97.9,
  "magmom_total_mub_per_fu": 0.5,
  "cell": [[-3.2076, -3.3920, -1.7774], [-0.8108, -4.2824, 2.6162], [-4.9040, 0.2724, 1.3105]],
  "species": ["Pt", "Pt", "Pt", "Pt", "Ag", "Ag"],
  "fractional_positions": [[0.3565, 0.5000, 0.7870], [0.8565, 0.7870, 0.5000], [0.6435, 0.5000, 0.2130], [0.1435, 0.2130, 0.5000], [0.7500, 0.0000, 0.0000], [0.2500, 0.0000, 0.0000]]
}



Stability, highest: i



## i
{
  "formula": "AgPt2",
  "functional": "SCAN",
  "state": "PBEsol geometry",
  "rho_g_cm3": 17.98,
  "vol_a3_per_cell": 46.0,
  "magmom_total_mub_per_fu": 0.0,
  "cell": [[-1.8223, -0.8495, -1.8794], [0.7769, -1.6922, 2.0267], [-5.2387, 2.3864, 4.0008]],
  "species": ["Pt", "Pt", "Ag"],
  "fractional_positions": [[0.6667, 0.3333, 0.3343], [0.3333, 0.6667, 0.6657], [0.0000, 0.0000, 0.0000]]
}



## ii
{
  "formula": "AgPt2",
  "functional": "SCAN",
  "state": "PBEsol geometry",
  "rho_g_cm3": 17.95,
  "vol_a3_per_cell": 184.3,
  "magmom_total_mub_per_fu": 0.0,
  "cell": [[-1.1387, -1.4603, 3.4999], [-0.8517, -5.5740, -2.6028], [7.4405, 0.3786, 2.5787]],
  "species": ["Ag", "Ag", "Ag", "Ag", "Pt", "Pt", "Pt", "Pt", "Pt", "Pt", "Pt", "Pt"],
  "fractional_positions": [[0.5000, 0.6673, 0.4148], [0.5000, 0.9982, 0.2493], [0.5000, 0.3329, 0.0848], [0.0000, 0.0040, 0.0033], [0.0000, 0.3315, 0.8272], [0.0000, 0.6717, 0.6713], [0.5000, 0.3326, 0.5845], [0.0000, 0.0009, 0.5004], [0.0000, 0.3379, 0.3426], [0.0000, 0.6598, 0.1606], [0.5000, 0.9998, 0.7481], [0.5000, 0.6633, 0.9131]]
}



Stability, highest: i